# LiMn2In PBE-GGA relaxed
data_LiMn2In
_symmetry_space_group_name_H-M 'P 1'
_symmetry_Int_Tables_number 1
_cell_length_a 9.662
_cell_length_b 9.662
_cell_length_c 9.662
_cell_angle_alpha 159.03
_cell_angle_beta 159.03
_cell_angle_gamma 29.83
loop_
_symmetry_equiv_pos_as_xyz
'x,y,z'
loop_
_atom_site_label
_atom_site_type_symbol
_atom_site_fract_x
_atom_site_fract_y
_atom_site_fract_z
Li1 Li 0.000 0.000 0.000
Li2 Li 0.750 0.250 0.500
Mn1 Mn 0.060 0.625 0.935
Mn2 Mn 0.375 0.310 0.435
Mn3 Mn 0.690 0.125 0.065
Mn4 Mn 0.875 0.940 0.565
In1 In 0.250 0.750 0.500
In2 In 0.500 0.500 0.000
# Total magnetic moment   0.0 Bohr magnetons per cell
# Energy of formation   246 kJ/mol of formula units
# SG   No. 122
# Uncorrected energy   -40.9 eV per cell


# LiMn3In PBE-GGA relaxed
data_LiMn3In
_symmetry_space_group_name_H-M 'P 1'
_symmetry_Int_Tables_number 1
_cell_length_a 4.297
_cell_length_b 4.297
_cell_length_c 4.297
_cell_angle_alpha 90.00
_cell_angle_beta 90.00
_cell_angle_gamma 90.00
loop_
_symmetry_equiv_pos_as_xyz
'x,y,z'
loop_
_atom_site_label
_atom_site_type_symbol
_atom_site_fract_x
_atom_site_fract_y
_atom_site_fract_z
Li1 Li 0.000 0.000 0.000
Mn1 Mn 0.000 0.000 0.500
Mn2 Mn 0.000 0.500 0.000
Mn3 Mn 0.500 0.000 0.000
In1 In 0.500 0.500 0.500
# Total magnetic moment   9.4 Bohr magnetons per cell
# Energy above the most stable polymorph in this dataset   0.00 eV per formula unit
# Energy of formation   397 kJ/mol of formula units
# SG   No. 221
# Uncorrected energy   -28.1 eV per cell